[1]
Below is an optimized crystal structure of Y5NiP2, with properties calculated at the PBE level.

## Properties
VASP energy (eV per cell): -50.19

Lattice parameters (Å, degrees): 6.843 6.843 4.486 90.00 90.00 90.00
Positions (direct):
Y: 0.000 0.000 0.000
Y: 0.267 0.267 0.500
Y: 0.267 0.733 0.500
Y: 0.733 0.267 0.500
Y: 0.733 0.733 0.500
Ni: 0.000 0.000 0.500
P: 0.000 0.500 0.000
P: 0.500 0.000 0.000

=====

[2]
Below is an optimized crystal structure of Y6Ni20P13, with properties calculated at the PBE level.

## Properties
VASP energy (eV per cell): -256.39

Lattice parameters (Å, degrees): 12.644 12.644 3.748 90.00 90.00 120.00
Positions (direct):
Y: 0.051 0.196 0.000
Y: 0.146 0.949 0.000
Y: 0.521 0.385 0.500
Y: 0.615 0.136 0.500
Y: 0.804 0.854 0.000
Y: 0.864 0.479 0.500
Ni: 0.000 0.000 0.500
Ni: 0.013 0.424 0.000
Ni: 0.087 0.738 0.500
Ni: 0.180 0.594 0.500
Ni: 0.228 0.471 0.000
Ni: 0.243 0.772 0.000
Ni: 0.262 0.349 0.500
Ni: 0.312 0.229 0.000
Ni: 0.356 0.102 0.500
Ni: 0.406 0.586 0.500
Ni: 0.411 0.987 0.000
Ni: 0.414 0.820 0.500
Ni: 0.529 0.757 0.000
Ni: 0.576 0.589 0.000
Ni: 0.651 0.913 0.500
Ni: 0.667 0.333 0.000
Ni: 0.747 0.644 0.500
Ni: 0.771 0.083 0.000
Ni: 0.898 0.253 0.500
Ni: 0.917 0.688 0.000
P: 0.051 0.619 0.000
P: 0.101 0.388 0.500
P: 0.196 0.143 0.500
P: 0.288 0.899 0.500
P: 0.333 0.667 0.000
P: 0.381 0.433 0.000
P: 0.471 0.190 0.000
P: 0.567 0.949 0.000
P: 0.612 0.712 0.500
P: 0.719 0.529 0.000
P: 0.810 0.281 0.000
P: 0.857 0.053 0.500
P: 0.947 0.804 0.500

=====

[3]
Below is an optimized crystal structure of YNiP, with properties calculated at the PBE level.

## Properties
VASP energy (eV per cell): -84.49

Lattice parameters (Å, degrees): 3.904 3.904 15.457 90.00 90.00 120.00
Positions (direct):
Y: 0.000 0.000 0.000
Y: 0.000 0.000 0.250
Y: 0.000 0.000 0.500
Y: 0.000 0.000 0.750
Ni: 0.333 0.667 0.129
Ni: 0.333 0.667 0.371
Ni: 0.667 0.333 0.629
Ni: 0.667 0.333 0.871
P: 0.333 0.667 0.623
P: 0.333 0.667 0.877
P: 0.667 0.333 0.123
P: 0.667 0.333 0.377

=====

[4]
Below is an optimized crystal structure of YNiP, with properties calculated at the PBE level.

## Properties
VASP energy (eV per cell): -75.92

Lattice parameters (Å, degrees): 3.801 3.801 17.517 90.00 90.00 120.00
Positions (direct):
Y: 0.333 0.667 0.149
Y: 0.333 0.667 0.351
Y: 0.667 0.333 0.649
Y: 0.667 0.333 0.851
Ni: 0.000 0.000 0.000
Ni: 0.000 0.000 0.250
Ni: 0.000 0.000 0.500
Ni: 0.000 0.000 0.750
P: 0.333 0.667 0.554
P: 0.333 0.667 0.946
P: 0.667 0.333 0.054
P: 0.667 0.333 0.446

=====

[5]
Below is an optimized crystal structure of Y2Ni12P7, with properties calculated at the PBE level.

## Properties
VASP energy (eV per cell): -133.93

Lattice parameters (Å, degrees): 9.033 9.033 3.676 90.00 90.00 120.00
Positions (direct):
Y: 0.000 0.000 0.000
Y: 0.333 0.667 0.500
Ni: 0.040 0.767 0.500
Ni: 0.098 0.382 0.000
Ni: 0.233 0.274 0.500
Ni: 0.285 0.902 0.000
Ni: 0.449 0.238 0.000
Ni: 0.514 0.058 0.500
Ni: 0.544 0.486 0.500
Ni: 0.618 0.715 0.000
Ni: 0.726 0.960 0.500
Ni: 0.762 0.212 0.000
Ni: 0.788 0.551 0.000
Ni: 0.942 0.456 0.500
P: 0.072 0.627 0.000
P: 0.260 0.040 0.500
P: 0.373 0.445 0.000
P: 0.555 0.928 0.000
P: 0.667 0.333 0.500
P: 0.780 0.740 0.500
P: 0.960 0.220 0.500

=====

[6]
Below is an optimized crystal structure of ZrNiP, with properties calculated at the PBE level.

## Properties
VASP energy (eV per cell): -63.27

Lattice parameters (Å, degrees): 6.860 6.860 3.518 90.00 90.00 120.00
Positions (direct):
Zr: 0.000 0.276 0.000
Zr: 0.276 0.000 0.000
Zr: 0.724 0.724 0.000
Ni: 0.000 0.628 0.500
Ni: 0.372 0.372 0.500
Ni: 0.628 0.000 0.500
P: 0.000 0.000 0.500
P: 0.333 0.667 0.000
P: 0.667 0.333 0.000

=====

[7]
Below is an optimized crystal structure of Zr9Ni2P4, with properties calculated at the PBE level.

## Properties
VASP energy (eV per cell): -248.90

Lattice parameters (Å, degrees): 12.069 12.069 3.690 90.00 90.00 90.00
Positions (direct):
Zr: 0.000 0.000 0.000
Zr: 0.096 0.404 0.000
Zr: 0.102 0.181 0.500
Zr: 0.119 0.619 0.500
Zr: 0.181 0.898 0.500
Zr: 0.319 0.398 0.500
Zr: 0.381 0.119 0.500
Zr: 0.398 0.681 0.500
Zr: 0.404 0.904 0.000
Zr: 0.500 0.500 0.000
Zr: 0.596 0.096 0.000
Zr: 0.602 0.319 0.500
Zr: 0.619 0.881 0.500
Zr: 0.681 0.602 0.500
Zr: 0.819 0.102 0.500
Zr: 0.881 0.381 0.500
Zr: 0.898 0.819 0.500
Zr: 0.904 0.596 0.000
Ni: 0.246 0.746 0.000
Ni: 0.254 0.246 0.000
Ni: 0.746 0.754 0.000
Ni: 0.754 0.254 0.000
P: 0.057 0.775 0.000
P: 0.225 0.057 0.000
P: 0.275 0.557 0.000
P: 0.443 0.275 0.000
P: 0.557 0.725 0.000
P: 0.725 0.443 0.000
P: 0.775 0.943 0.000
P: 0.943 0.225 0.000

=====

[8]
Below is an optimized crystal structure of ZrNiP, with properties calculated at the PBE level.

## Properties
VASP energy (eV per cell): -45.89

Lattice parameters (Å, degrees): 3.753 3.753 7.310 90.00 90.00 120.00
Positions (direct):
Zr: 0.000 0.000 0.000
Zr: 0.000 0.000 0.500
Ni: 0.333 0.667 0.250
Ni: 0.667 0.333 0.750
P: 0.333 0.667 0.750
P: 0.667 0.333 0.250

=====

[9]
Below is an optimized crystal structure of ZrNiP, with properties calculated at the PBE level.

## Properties
VASP energy (eV per cell): -66.00

Lattice parameters (Å, degrees): 6.512 6.512 3.690 90.00 90.00 120.00
Positions (direct):
Zr: 0.000 0.626 0.000
Zr: 0.374 0.374 0.000
Zr: 0.626 0.000 0.000
Ni: 0.000 0.000 0.000
Ni: 0.333 0.667 0.500
Ni: 0.667 0.333 0.500
P: 0.000 0.300 0.500
P: 0.300 0.000 0.500
P: 0.700 0.700 0.500

=====

[10]
Below is an optimized crystal structure of ZrNiP, with properties calculated at the PBE level.

## Properties
VASP energy (eV per cell): -67.98

Lattice parameters (Å, degrees): 6.293 6.293 3.761 90.00 90.00 120.00
Positions (direct):
Zr: 0.000 0.590 0.000
Zr: 0.410 0.410 0.000
Zr: 0.590 0.000 0.000
Ni: 0.000 0.251 0.500
Ni: 0.251 0.000 0.500
Ni: 0.749 0.749 0.500
P: 0.000 0.000 0.000
P: 0.333 0.667 0.500
P: 0.667 0.333 0.500

=====

[11]
Below is an optimized crystal structure of Pa2Ni17, with properties calculated at the PBE level.

## Properties
ΔH_f (0 K) (meV per atom): -247
VASP energy (eV per cell): -118.33

Lattice parameters (Å, degrees): 6.210 6.210 6.210 82.78 82.78 82.78
Positions (direct):
Pa: 0.166 0.166 0.166
Pa: 0.834 0.834 0.834
Ni: 0.000 0.500 0.500
Ni: 0.152 0.152 0.657
Ni: 0.152 0.657 0.152
Ni: 0.200 0.500 0.800
Ni: 0.200 0.800 0.500
Ni: 0.343 0.848 0.848
Ni: 0.399 0.399 0.399
Ni: 0.500 0.000 0.500
Ni: 0.500 0.200 0.800
Ni: 0.500 0.500 0.000
Ni: 0.500 0.800 0.200
Ni: 0.601 0.601 0.601
Ni: 0.657 0.152 0.152
Ni: 0.800 0.200 0.500
Ni: 0.800 0.500 0.200
Ni: 0.848 0.343 0.848
Ni: 0.848 0.848 0.343

=====

[12]
Below is an optimized crystal structure of PaNi2, with properties calculated at the PBE level.

## Properties
ΔH_f (0 K) (meV per atom): 564
VASP energy (eV per cell): -37.88

Lattice parameters (Å, degrees): 4.997 4.997 4.703 90.00 90.00 90.00
Positions (direct):
Pa: 0.000 0.000 0.000
Pa: 0.500 0.500 0.500
Ni: 0.164 0.164 0.500
Ni: 0.336 0.664 0.000
Ni: 0.664 0.336 0.000
Ni: 0.836 0.836 0.500